# Be2TcP | Alexandria | PBE | optimized geometry
data_Be2TcP
_chemical_formula_sum 'Be2 Tc1 P1'
_cell_length_a 2.826
_cell_length_b 3.584
_cell_length_c 4.409
_cell_angle_alpha 90.00
_cell_angle_beta 90.09
_cell_angle_gamma 90.00
_symmetry_space_group_name_H-M 'P 1 m 1'
_symmetry_Int_Tables_number 6
_symmetry_space_group_name_Hall 'P -2y'
loop_
_atom_site_label
_atom_site_fract_x
_atom_site_fract_y
_atom_site_fract_z
Be1 0.000 0.000 0.000
Be2 0.009 0.500 0.762
Tc1 0.503 0.500 0.262
P1 0.003 0.000 0.490
# - DOS at the Fermi energy: 0.526 states/eV/atom
# - Energy of formation: -0.10 eV per atom